# 1
A plane-wave DFT calculation with PBE-GGA was carried out for an optimized crystal structure of Tm3Ga5.

Properties
* Fermi-level density of states: 0.6127 states/eV/atom
* crystal system: orthorhombic
* SG: Fdd2
* E_tot: -4.08 eV per atom

```
16
Lattice="0.000 8.865 6.555 2.954 0.000 6.555 2.954 8.865 0.000" Properties=species:S:1:pos:R:3 pbc="T T T"
Tm 0.000 0.000 0.000
Tm 1.477 4.432 3.278
Tm 2.958 5.761 6.552
Tm 4.426 10.193 9.830
Tm 2.949 11.969 6.552
Tm 4.435 16.402 9.830
Ga 3.123 3.002 5.316
Ga 4.244 10.281 4.526
Ga 2.767 3.017 7.803
Ga 4.261 7.434 8.593
Ga 1.663 7.449 4.526
Ga 2.954 8.865 6.587
Ga 4.431 13.297 9.864
Ga 2.784 14.728 5.316
Ga 3.140 14.713 7.803
Ga 1.647 10.295 8.593
```



# 2
A plane-wave DFT calculation with PBE-GGA was carried out for an optimized crystal structure of Tb3Dy4Y.

Properties
* Fermi-level density of states: 1.6655 states/eV/atom
* crystal system: orthorhombic
* SG: Pmn2_1
* E_tot: -4.84 eV per atom

```
16
Lattice="11.273 0.000 0.000 0.000 7.275 0.000 0.000 0.000 6.290" Properties=species:S:1:pos:R:3 pbc="T T T"
Tb 0.000 0.914 0.000
Tb 2.821 0.914 2.098
Tb 2.815 6.361 5.243
Tb 5.636 6.360 3.145
Tb 8.452 0.914 2.098
Tb 8.458 6.361 5.243
Dy 0.000 2.730 3.143
Dy 0.000 4.539 0.000
Dy 2.815 2.733 5.232
Dy 2.821 4.542 2.087
Dy 5.636 2.735 3.145
Dy 5.636 4.545 6.288
Dy 8.458 2.733 5.232
Dy 8.452 4.542 2.087
Y 0.000 6.362 3.143
Y 5.636 0.913 6.288
```



# 3
A plane-wave DFT calculation with PBE-GGA was carried out for an optimized crystal structure of Ba3PaCd2O9.

Properties
* Fermi-level density of states: 0.4036 states/eV/atom
* crystal system: trigonal
* SG: P-3m1
* raw formation energy: -2146 meV/atom
* E_tot: -6.26 eV per atom

```
15
Lattice="6.120 0.000 0.000 -3.060 5.300 0.000 0.000 0.000 7.617" Properties=species:S:1:pos:R:3 pbc="T T T"
Ba 0.000 0.000 0.000
Ba 0.000 3.533 5.365
Ba 3.060 1.767 2.252
Pa 0.000 0.000 3.809
Cd 0.000 3.533 1.289
Cd 3.060 1.767 6.328
O -1.530 2.650 0.000
O 0.000 1.714 2.550
O -1.576 4.443 2.550
O 1.484 0.857 5.067
O 3.060 0.000 0.000
O 1.530 2.650 0.000
O 1.576 4.443 2.550
O 4.636 0.857 5.067
O 3.060 3.586 5.067
```



# 4
A plane-wave DFT calculation with PBE-GGA was carried out for an optimized crystal structure of Sr2CdGa2Rh5.

Properties
* Fermi-level density of states: 0.4802 states/eV/atom
* crystal system: tetragonal
* SG: P4/mbm
* E_tot: -5.10 eV per atom

```
20
Lattice="10.393 0.000 0.000 0.000 10.393 0.000 0.000 0.000 3.444" Properties=species:S:1:pos:R:3 pbc="T T T"
Sr 1.829 3.368 0.000
Sr 3.368 8.564 0.000
Sr 7.025 1.829 0.000
Sr 8.564 7.025 0.000
Cd 0.000 0.000 0.000
Cd 5.196 5.196 0.000
Ga 1.286 6.483 0.000
Ga 3.910 1.286 0.000
Ga 6.483 9.106 0.000
Ga 9.106 3.910 0.000
Rh 0.000 5.196 1.722
Rh 0.664 8.202 1.722
Rh 2.191 0.664 1.722
Rh 3.005 5.860 1.722
Rh 4.533 3.005 1.722
Rh 5.196 0.000 1.722
Rh 5.860 7.387 1.722
Rh 7.387 4.533 1.722
Rh 8.202 9.729 1.722
Rh 9.729 2.191 1.722
```



# 5
A plane-wave DFT calculation with PBE-GGA was carried out for an optimized crystal structure of VPW.

Properties
* Fermi-level density of states: 0.6489 states/eV/atom
* crystal system: trigonal
* SG: P3m1
* E_tot: -9.21 eV per atom

```
3
Lattice="4.269 0.000 0.000 -2.134 3.697 0.000 0.000 0.000 2.741" Properties=species:S:1:pos:R:3 pbc="T T T"
V 0.000 0.000 0.000
P 0.000 2.465 1.973
W 2.134 1.232 1.739
```



# 6
A plane-wave DFT calculation with PBE-GGA was carried out for an optimized crystal structure of Pr2SnGe4Ir3.

Properties
* Fermi-level density of states: 0.3688 states/eV/atom
* crystal system: tetragonal
* SG: P-4m2
* E_tot: -6.48 eV per atom

```
10
Lattice="4.365 0.000 0.000 0.000 4.365 0.000 0.000 0.000 10.480" Properties=species:S:1:pos:R:3 pbc="T T T"
Pr 0.000 2.183 2.484
Pr 2.183 0.000 7.996
Sn 0.000 0.000 5.240
Ge 0.000 0.000 0.000
Ge 0.000 2.183 6.858
Ge 2.183 0.000 3.622
Ge 2.183 2.183 0.000
Ir 0.000 2.183 9.267
Ir 2.183 0.000 1.213
Ir 2.183 2.183 5.240
```



# 7
A plane-wave DFT calculation with PBE-GGA was carried out for an optimized crystal structure of Sc3TaMn.

Properties
* Fermi-level density of states: 2.1327 states/eV/atom
* crystal system: cubic
* SG: Pm-3m
* E_tot: -6.60 eV per atom

```
5
Lattice="5.029 0.000 0.000 0.000 5.029 0.000 0.000 0.000 5.029" Properties=species:S:1:pos:R:3 pbc="T T T"
Sc 0.000 0.000 2.515
Sc 0.000 2.515 0.000
Sc 2.515 0.000 0.000
Ta 0.000 0.000 0.000
Mn 2.515 2.515 2.515
```



# 8
A plane-wave DFT calculation with PBE-GGA was carried out for an optimized crystal structure of Pm2AgHg3.

Properties
* Fermi-level density of states: 0.6244 states/eV/atom
* crystal system: orthorhombic
* SG: Fmmm
* E_tot: -2.62 eV per atom

```
12
Lattice="0.000 4.987 8.618 3.457 0.000 8.618 3.457 4.987 0.000" Properties=species:S:1:pos:R:3 pbc="T T T"
Pm 5.190 4.987 8.618
Pm 1.728 2.494 4.309
Pm 5.185 7.481 12.927
Pm 1.723 4.987 8.618
Ag 3.457 4.987 2.873
Ag 3.457 4.987 14.363
Hg 3.457 2.453 7.158
Hg 3.457 4.987 5.710
Hg 3.457 2.453 10.077
Hg 3.457 7.522 7.158
Hg 3.457 4.987 11.526
Hg 3.457 7.522 10.077
```



# 9
A plane-wave DFT calculation with PBE-GGA was carried out for an optimized crystal structure of Zn2OsRh.

Properties
* Fermi-level density of states: 0.5882 states/eV/atom
* crystal system: monoclinic
* SG: P2/m
* E_tot: -5.22 eV per atom

```
4
Lattice="2.680 0.000 0.000 0.000 4.317 0.000 -0.301 0.000 4.923" Properties=species:S:1:pos:R:3 pbc="T T T"
Zn 0.547 0.000 1.233
Zn 1.832 0.000 3.690
Os 1.340 2.159 0.000
Rh -0.150 2.159 2.461
```



# 10
A plane-wave DFT calculation with PBE-GGA was carried out for an optimized crystal structure of Ba3CdRu.

Properties
* Fermi-level density of states: 1.1230 states/eV/atom
* crystal system: cubic
* SG: Pm-3m
* E_tot: -2.29 eV per atom

```
5
Lattice="6.428 0.000 0.000 0.000 6.428 0.000 0.000 0.000 6.428" Properties=species:S:1:pos:R:3 pbc="T T T"
Ba 0.000 0.000 3.214
Ba 0.000 3.214 0.000
Ba 3.214 0.000 0.000
Cd 0.000 0.000 0.000
Ru 3.214 3.214 3.214
```



# 11
A plane-wave DFT calculation with PBE-GGA was carried out for an optimized crystal structure of Pr2EuIn.

Properties
* Fermi-level density of states: 1.2011 states/eV/atom
* crystal system: cubic
* SG: Fm-3m
* E_tot: -5.82 eV per atom

```
4
Lattice="0.000 4.009 4.009 4.009 0.000 4.009 4.009 4.009 0.000" Properties=species:S:1:pos:R:3 pbc="T T T"
Pr 2.005 2.005 2.005
Pr 6.014 6.014 6.014
Eu 0.000 0.000 0.000
In 4.009 4.009 4.009
```



# 12
A plane-wave DFT calculation with PBE-GGA was carried out for an optimized crystal structure of CsTa3H.

Properties
* Fermi-level density of states: 1.0744 states/eV/atom
* crystal system: cubic
* SG: Pm-3m
* E_tot: -6.44 eV per atom

```
5
Lattice="4.445 0.000 0.000 0.000 4.445 0.000 0.000 0.000 4.445" Properties=species:S:1:pos:R:3 pbc="T T T"
Cs 0.000 0.000 0.000
Ta 0.000 2.223 2.223
Ta 2.223 0.000 2.223
Ta 2.223 2.223 0.000
H 2.223 2.223 2.223
```



Which value of Fermi-level density of states does entry 11 give? 1.2011 states/eV/atom



What is the Fermi-level density of states in the eleventh record? 1.2011 states/eV/atom